1.
Below is a PBEsol-optimized structure of ScBiB2Os, with properties calculated at the SCAN level.

Computed properties:
* ΔE_f: 0.487 eV per atom
* calculated total energy: -177.1 eV per cell
* crystal system: tetragonal

```
5
Lattice="-0.6506 -2.6889 -3.0921 4.0756 -0.1002 -0.7704 0.5297 -3.9401 3.3148" Properties=species:S:1:pos:R:3 pbc="T T T"
Sc 0.2648 -1.9700 1.6574
B 2.0378 -0.0501 -0.3852
B -0.3253 -1.3444 -1.5460
Os 0.0000 0.0000 0.0000
Bi 1.9774 -3.3646 -0.2738
```

2.
Below is a PBEsol-optimized structure of InSiNi, with properties calculated at the SCAN level.

Computed properties:
* calculated total energy: -59.5 eV per cell
* crystal system: hexagonal
* formation energy without anion corrections: 0.0411 eV per atom

```
3
Lattice="3.7241 0.0000 0.0000 0.0000 3.8789 0.0000 0.0000 -1.9395 3.3593" Properties=species:S:1:pos:R:3 pbc="T T T"
In 1.8620 0.0000 0.0000
Ni 0.0000 1.9395 1.1198
Si 0.0000 0.0000 2.2395
```

3.
Below is a PBEsol-optimized structure of B2MoAs, with properties calculated at the SCAN level.

Computed properties:
* ΔE_f: 0.718 eV per atom
* calculated total energy: -134.1 eV per cell
* crystal system: tetragonal

```
8
Lattice="5.0237 0.0000 0.0000 -2.5118 5.0624 0.0531 0.0000 2.4467 4.3876" Properties=species:S:1:pos:R:3 pbc="T T T"
Mo 2.5118 4.3662 3.3173
Mo 0.0000 0.0000 0.0000
B 1.2167 4.7143 1.6852
B -1.2167 5.9376 3.8790
B 3.7678 2.7757 2.7213
B 1.2559 1.5905 0.5959
As 0.0000 3.1429 1.1234
As 2.5118 1.2233 2.1938
```

4.
Below is a PBEsol-optimized structure of SrAgSb, with properties calculated at the SCAN level.

Computed properties:
* calculated total energy: -186.9 eV per cell
* crystal system: hexagonal
* formation energy without anion corrections: -0.8517 eV per atom

```
6
Lattice="-4.0389 -2.1387 1.2075 4.0061 -1.0565 2.2759 -1.5771 6.1605 5.6360" Properties=species:S:1:pos:R:3 pbc="T T T"
Sb -2.5401 2.8424 5.7906
Sb 0.9301 0.1229 3.3288
Ag 0.1416 3.2031 6.1467
Ag -1.7515 -0.2378 2.9726
Sr 0.0000 0.0000 0.0000
Sr -0.7886 3.0803 2.8180
```

5.
Below is a PBEsol-optimized structure of SrInPbS2, with properties calculated at the SCAN level.

Computed properties:
* calculated total energy: -152.5 eV per cell
* crystal system: tetragonal
* formation energy without anion corrections: -0.3645 eV per atom

```
5
Lattice="-0.5624 -3.4058 3.8381 -0.9536 -3.7244 -3.4447 5.2826 -1.1361 -0.2341" Properties=species:S:1:pos:R:3 pbc="T T T"
Pb 2.6413 -0.5680 -0.1170
Sr 1.8833 -4.1331 0.0797
S -0.4768 -1.8622 -1.7223
S -0.2812 -1.7029 1.9190
In 0.0000 0.0000 0.0000
```

6.
Below is a PBEsol-optimized structure of LaSbOs3, with properties calculated at the SCAN level.

Computed properties:
* calculated total energy: -281.8 eV per cell
* crystal system: cubic
* formation energy without anion corrections: 2.8450 eV per atom

```
5
Lattice="-3.8296 0.5839 -2.8878 2.8769 -0.2806 -3.8719 -0.6356 -4.7882 -0.1253" Properties=species:S:1:pos:R:3 pbc="T T T"
Sb -0.7941 -2.2425 -3.4425
Os 1.4385 -0.1403 -1.9359
Os -0.3178 -2.3941 -0.0626
Os -1.9148 0.2919 -1.4439
La 0.0000 0.0000 0.0000
```

7.
Below is a PBEsol-optimized structure of FeSiW, with properties calculated at the SCAN level.

Computed properties:
* calculated total energy: -98.2 eV per cell
* crystal system: tetragonal
* formation energy without anion corrections: -0.1164 eV per atom
* offset from the most stable computed form: 130 meV/atom

```
3
Lattice="2.7588 0.0000 0.0000 0.0000 2.7588 0.0000 -1.3794 -1.3794 4.7903" Properties=species:S:1:pos:R:3 pbc="T T T"
Fe 1.3794 1.3794 4.6218
Si 0.0000 0.0000 3.3800
W 1.3794 1.3794 1.5789
```

8.
Below is a PBEsol-optimized structure of YCl5, with properties calculated at the SCAN level.

Computed properties:
* calculated total energy: -77.4 eV per cell
* crystal system: monoclinic
* formation energy without anion corrections: -1.6117 eV per atom

```
6
Lattice="-0.1825 1.9342 -3.3234 -7.0890 1.5924 1.3161 4.1809 4.0047 4.3306" Properties=species:S:1:pos:R:3 pbc="T T T"
Y -4.2883 5.4704 1.1897
Cl -0.5623 0.4655 0.3018
Cl -4.7229 3.3736 -0.0068
Cl 1.2440 3.4665 1.9492
Cl -2.4104 4.5981 2.8084
Cl -2.3487 1.2035 0.8294
```